No. 1
# GGA-PBE HfSnOs3, relaxed
data_HfSnOs3
_chemical_formula_sum 'Hf1 Sn1 Os3'
_space_group_name_H-M_alt 'P m -3 m'
_space_group_IT_number 221
_space_group_name_Hall '-P 4 2 3'
_cell_length_a 4.834
_cell_length_b 4.834
_cell_length_c 4.834
_cell_angle_alpha 90.00
_cell_angle_beta 90.00
_cell_angle_gamma 90.00
loop_
_atom_site_label
_atom_site_fract_x
_atom_site_fract_y
_atom_site_fract_z
_atom_site_occupancy
Hf1 0.000 0.000 0.000 1
Sn1 0.500 0.500 0.500 1
Os1 0.000 0.000 0.500 1
# Energy above the most stable polymorph in this dataset   16.6 kJ/mol of atoms
# Mass density   12.8 Mg/m³

No. 2
# GGA-PBE TbTm2Pb5, relaxed
data_TbTm2Pb5
_chemical_formula_sum 'Tb2 Tm4 Pb10'
_space_group_name_H-M_alt 'I 4/m m m'
_space_group_IT_number 139
_space_group_name_Hall '-I 4 2'
_cell_length_a 7.966
_cell_length_b 7.966
_cell_length_c 7.167
_cell_angle_alpha 90.00
_cell_angle_beta 90.00
_cell_angle_gamma 90.00
loop_
_atom_site_label
_atom_site_fract_x
_atom_site_fract_y
_atom_site_fract_z
_atom_site_occupancy
Tb1 0.000 0.000 0.000 1
Tm1 0.000 0.500 0.000 1
Pb1 0.000 0.000 0.500 1
Pb2 0.250 0.250 0.250 1
# Raw total energy   -4.32 eV per atom
# Mass density   11.2 Mg/m³

No. 3
# GGA-PBE SrMgTlGa, relaxed
data_SrMgTlGa
_chemical_formula_sum 'Sr4 Mg4 Tl4 Ga4'
_space_group_name_H-M_alt 'F -4 3 m'
_space_group_IT_number 216
_space_group_name_Hall 'F -4 2 3'
_cell_length_a 7.516
_cell_length_b 7.516
_cell_length_c 7.516
_cell_angle_alpha 90.00
_cell_angle_beta 90.00
_cell_angle_gamma 90.00
loop_
_atom_site_label
_atom_site_fract_x
_atom_site_fract_y
_atom_site_fract_z
_atom_site_occupancy
Sr1 0.000 0.000 0.000 1
Mg1 0.000 0.000 0.500 1
Tl1 0.250 0.250 0.250 1
Ga1 0.250 0.250 0.750 1
# Raw total energy   -2.42 eV per atom
# Mass density   6.0 Mg/m³

No. 4
# GGA-PBE Be3HgRu, relaxed
data_Be3HgRu
_chemical_formula_sum 'Be3 Hg1 Ru1'
_space_group_name_H-M_alt 'P m -3 m'
_space_group_IT_number 221
_space_group_name_Hall '-P 4 2 3'
_cell_length_a 4.262
_cell_length_b 4.262
_cell_length_c 4.262
_cell_angle_alpha 90.00
_cell_angle_beta 90.00
_cell_angle_gamma 90.00
loop_
_atom_site_label
_atom_site_fract_x
_atom_site_fract_y
_atom_site_fract_z
_atom_site_occupancy
Be1 0.000 0.000 0.500 1
Hg1 0.000 0.000 0.000 1
Ru1 0.500 0.500 0.500 1
# Energy above the most stable polymorph in this dataset   65.6 kJ/mol of atoms
# Mass density   7.0 Mg/m³

No. 5
# GGA-PBE FeMo4P, relaxed
data_FeMo4P
_chemical_formula_sum 'Fe4 Mo16 P4'
_space_group_name_H-M_alt 'F -4 3 m'
_space_group_IT_number 216
_space_group_name_Hall 'F -4 2 3'
_cell_length_a 7.304
_cell_length_b 7.304
_cell_length_c 7.304
_cell_angle_alpha 90.00
_cell_angle_beta 90.00
_cell_angle_gamma 90.00
loop_
_atom_site_label
_atom_site_fract_x
_atom_site_fract_y
_atom_site_fract_z
_atom_site_occupancy
Fe1 0.000 0.000 0.000 1
Mo1 0.126 0.126 0.374 1
P1 0.250 0.250 0.750 1
# Raw total energy   -8.83 eV per atom
# Mass density   8.0 Mg/m³

No. 6
# GGA-PBE FeCoRh, relaxed
data_FeCoRh
_chemical_formula_sum 'Fe4 Co4 Rh4'
_space_group_name_H-M_alt 'P n m a'
_space_group_IT_number 62
_space_group_name_Hall '-P 2ac 2n'
_cell_length_a 8.367
_cell_length_b 2.629
_cell_length_c 6.984
_cell_angle_alpha 90.00
_cell_angle_beta 90.00
_cell_angle_gamma 90.00
loop_
_atom_site_label
_atom_site_fract_x
_atom_site_fract_y
_atom_site_fract_z
_atom_site_occupancy
Fe1 0.139 0.250 0.247 1
Co1 0.114 0.750 0.941 1
Rh1 0.110 0.250 0.617 1
# Energy above the most stable polymorph in this dataset   9.2 kJ/mol of atoms
# Mass density   9.4 Mg/m³

mass density of number 6 (FeCoRh)?
9.4 Mg/m³

Among the records above, which one has the lowest mass density?
SrMgTlGa

Look up the mass density of the third one.
6.0 Mg/m³